Record 1
! PBE-GGA Pb2BrCl, relaxed; values from VASP
! DFT total energy, eV/atom: -3.112
! Offset from the most stable computed form, meV per atom: 166
! E_form (uncorrected), eV per atom: -0.378
&SYSTEM
  ibrav = 0, nat = 4, ntyp = 3
/
ATOMIC_SPECIES
Cl 35.45 Cl.upf
Pb 207.20 Pb.upf
Br 79.90 Br.upf
ATOMIC_POSITIONS angstrom
Cl 0.984 1.629 8.455
Pb 0.984 1.629 2.937
Pb 0.000 0.000 10.459
Br 0.000 0.000 5.102
CELL_PARAMETERS angstrom
3.669 0.008 0.000
-1.702 3.250 0.000
0.000 0.000 10.781

---

Record 2
! PBE-GGA Pb4Br2Cl5, relaxed; values from VASP
! DFT total energy, eV/atom: -3.426
! E_form (uncorrected), eV per atom: -0.934
&SYSTEM
  ibrav = 0, nat = 11, ntyp = 3
/
ATOMIC_SPECIES
Cl 35.45 Cl.upf
Br 79.90 Br.upf
Pb 207.20 Pb.upf
ATOMIC_POSITIONS angstrom
Cl 0.347 7.537 2.159
Br 0.850 5.404 5.288
Br 2.538 2.350 3.372
Pb -0.080 6.743 -0.497
Cl 3.041 0.217 6.500
Pb 0.951 2.327 5.912
Cl 1.945 0.000 -0.313
Pb 3.468 1.012 9.157
Pb 2.437 5.428 2.748
Cl 0.160 4.239 0.996
Cl 3.228 3.515 7.664
CELL_PARAMETERS angstrom
3.890 0.000 -0.625
-0.258 8.840 -1.607
-0.244 -1.086 10.893

---

Record 3
! PBE-GGA Pb2BrCl, relaxed; values from VASP
! DFT total energy, eV/atom: -3.119
! Offset from the most stable computed form, meV per atom: 159
! E_form (uncorrected), eV per atom: -0.385
&SYSTEM
  ibrav = 0, nat = 4, ntyp = 3
/
ATOMIC_SPECIES
Cl 35.45 Cl.upf
Pb 207.20 Pb.upf
Br 79.90 Br.upf
ATOMIC_POSITIONS angstrom
Cl 6.428 -0.974 3.392
Pb 9.027 -0.607 1.306
Pb 4.596 -0.309 0.665
Br 1.887 -0.669 2.735
CELL_PARAMETERS angstrom
-0.297 1.915 2.942
-0.469 -2.948 1.872
9.082 -0.611 1.314

---

Record 4
! PBE-GGA Pb2BrCl, relaxed; values from VASP
! DFT total energy, eV/atom: -3.276
! Offset from the most stable computed form, meV per atom: 2
! E_form (uncorrected), eV per atom: -0.542
&SYSTEM
  ibrav = 0, nat = 4, ntyp = 3
/
ATOMIC_SPECIES
Br 79.90 Br.upf
Pb 207.20 Pb.upf
Cl 35.45 Cl.upf
ATOMIC_POSITIONS angstrom
Br 3.590 0.697 1.627
Pb 0.000 0.000 0.000
Cl -0.363 3.638 1.627
Pb 2.186 2.938 0.002
CELL_PARAMETERS angstrom
6.139 -0.003 0.002
-1.767 5.879 0.002
1.040 1.398 3.252